# PBE Pu5Pt2Pb2, relaxed
data_Pu5Pt2Pb2
_cell_length_a 15.8380
_cell_length_b 7.8239
_cell_length_c 7.9220
_cell_angle_alpha 90.00
_cell_angle_beta 90.00
_cell_angle_gamma 90.00
_symmetry_space_group_name_H-M 'C m c e'
_symmetry_Int_Tables_number 64
_symmetry_space_group_name_Hall '-C 2ac 2'
loop_
_atom_site_label
_atom_site_fract_x
_atom_site_fract_y
_atom_site_fract_z
Pu1 0.0000 0.0000 0.0000
Pu2 0.1179 0.1653 0.3345
Pt1 0.0000 0.1351 0.6344
Pb1 0.2125 0.0000 0.0000
# - formation enthalpy at 0 K (eV/atom) = -0.3248
# - calculated volume (Å³ per atom) = 27.3